CuRh2Cl | PBE | relaxed

Summary:
**VASP energy**: -0.333 Ry/atom
**Total magnetic moment**: 2.1 μB per formula unit
**Symmetry**: I-4m2
**ΔE_f (raw)**: 0.6296 eV per atom
**ΔE to the lowest computed polymorph**: 448.9 meV/atom

Cell lengths 4.3756, 4.3756, 6.3160 Å; angles 90.00, 90.00, 90.00 degrees
With the nearest neighbours (Å) after each atom.
Fractional coordinates of all 8 atoms:
Cu 0.0000 0.0000 0.0000  4 Cl 2.70, 4 Rh 2.70
Cu 0.5000 0.5000 0.5000  4 Cl 2.70, 4 Rh 2.70
Rh 0.0000 0.0000 0.5000  4 Cl 2.70, 4 Rh 2.70
Rh 0.0000 0.5000 0.7500  4 Rh 2.70, 4 Cu 2.70
Rh 0.5000 0.0000 0.2500  4 Cu 2.70, 4 Rh 2.70
Rh 0.5000 0.5000 0.0000  4 Cl 2.70, 4 Rh 2.70
Cl 0.0000 0.5000 0.2500  4 Cu 2.70, 4 Rh 2.70
Cl 0.5000 0.0000 0.7500  4 Rh 2.70, 4 Cu 2.70